Entry 1:
This record from the Alexandria database describes a relaxed Zr3ZnCu2 crystal. The functional is GGA-PBE.

a b c (Å): 11.9327 11.9327 11.9327
angles (deg): 90.00 90.00 90.00
Space group Fd-3m (No. 227, origin choice 2)
Unique sites:
1 Zr 0.0717 0.3750 0.3750 (multiplicity 48)
2 Zn 0.0000 0.0000 0.5000 (multiplicity 16)
3 Cu 0.0443 0.0443 0.7057 (multiplicity 32)

Values from the calculation:
The calculation puts the size of the total moment at 0.00 μB/cell. As for the formation energy: -0.928 eV/f.u. The energy above the most stable polymorph in this dataset comes out at 0.003 eV/atom. The density of states at the Fermi level is 112.86 states/eV/cell. The value obtained for the volume is 17.7 Å³ per atom.


Entry 2:
This record from the Alexandria database describes a relaxed Zr2HRu crystal. The functional is GGA-PBE.

a b c (Å): 6.3824 6.3824 6.3824
angles (deg): 90.00 90.00 90.00
Space group Fm-3m (No. 225)
Unique sites:
1 Zr 0.2500 0.2500 0.2500 (multiplicity 8)
2 H 0.0000 0.0000 0.0000 (multiplicity 4)
3 Ru 0.0000 0.0000 0.5000 (multiplicity 4)

Values from the calculation:
The calculation puts the size of the total moment at 0.00 μB/cell. The energy above the most stable polymorph in this dataset comes out at 0.205 eV/atom. The density of states at the Fermi level is 13.26 states/eV/cell. The value obtained for the volume is 16.2 Å³ per atom.


Entry 3:
This record from the Alexandria database describes a relaxed Tb2CeNd6 crystal. The functional is GGA-PBE.

a b c (Å): 3.6332 3.6332 27.1575
angles (deg): 90.00 90.00 120.00
Space group P-6m2 (No. 187)
Unique sites:
1 Tb 0.0000 0.0000 0.1709 (multiplicity 2)
2 Ce 0.6667 0.3333 0.5000 (multiplicity 1)
3 Nd 0.0000 0.0000 0.3922 (multiplicity 2)
4 Nd 0.6667 0.3333 0.0658 (multiplicity 2)
5 Nd 0.6667 0.3333 0.2800 (multiplicity 2)

Values from the calculation:
The calculation puts the size of the total moment at 0.95 μB/cell. As for the formation energy: 0.688 eV/f.u. The density of states at the Fermi level is 17.18 states/eV/cell. The value obtained for the volume is 34.5 Å³ per atom.


Entry 4:
This record from the Alexandria database describes a relaxed LiCo4Si crystal. The functional is GGA-PBE.

a b c (Å): 6.5741 6.5741 6.5741
angles (deg): 90.00 90.00 90.00
Space group F-43m (No. 216)
Unique sites:
1 Li 0.0000 0.0000 0.0000 (multiplicity 4)
2 Co 0.1247 0.1247 0.3753 (multiplicity 16)
3 Si 0.2500 0.2500 0.7500 (multiplicity 4)

Values from the calculation:
The calculation puts the size of the total moment at 20.88 μB/cell. As for the total energy: -5.87 eV per atom. The density of states at the Fermi level is 25.60 states/eV/cell. The value obtained for the volume is 11.8 Å³ per atom.


Entry 5:
This record from the Alexandria database describes a relaxed Sr2Mg2Hg crystal. The functional is GGA-PBE.

a b c (Å): 7.9531 7.9531 5.3202
angles (deg): 90.00 90.00 90.00
Space group P4/mbm (No. 127)
Unique sites:
1 Sr 0.1757 0.3243 0.0000 (multiplicity 4)
2 Mg 0.1338 0.6338 0.5000 (multiplicity 4)
3 Hg 0.0000 0.0000 0.5000 (multiplicity 2)

Values from the calculation:
The calculation puts the size of the total moment at 0.00 μB/cell. As for the formation energy: -0.544 eV/f.u. The energy above the most stable polymorph in this dataset comes out at 0.124 eV/atom. The density of states at the Fermi level is 10.41 states/eV/cell. The value obtained for the volume is 33.7 Å³ per atom.


Entry 6:
This record from the Alexandria database describes a relaxed ZnRu2Au crystal. The functional is GGA-PBE.

a b c (Å): 7.2161 7.2161 5.0301
angles (deg): 90.00 90.00 90.00
Space group I-42d (No. 122)
Unique sites:
1 Zn 0.0000 0.0000 0.0000 (multiplicity 4)
2 Ru 0.2293 0.7500 0.1250 (multiplicity 8)
3 Au 0.0000 0.0000 0.5000 (multiplicity 4)

Values from the calculation:
The calculation puts the size of the total moment at 0.00 μB/cell. As for the formation energy: 2.876 eV/f.u. The density of states at the Fermi level is 22.48 states/eV/cell. The value obtained for the volume is 16.4 Å³ per atom.


Entry 7:
This record from the Alexandria database describes a relaxed LaNd5P6 crystal. The functional is GGA-PBE.

a b c (Å): 7.2527 12.5594 7.2517
angles (deg): 90.00 109.48 90.00
Space group C2/m (No. 12)
Unique sites:
1 La 0.0000 0.0000 0.0000 (multiplicity 2)
2 Nd 0.0000 0.1665 0.5000 (multiplicity 4)
3 Nd 0.0000 0.3332 0.0000 (multiplicity 4)
4 Nd 0.0000 0.5000 0.5000 (multiplicity 2)
5 P 0.2484 0.3322 0.7485 (multiplicity 8)
6 P 0.2481 0.5000 0.2512 (multiplicity 4)

Values from the calculation:
The calculation puts the size of the total moment at 0.00 μB/cell. As for the formation energy: -18.531 eV/f.u. The density of states at the Fermi level is 1.49 states/eV/cell. The value obtained for the volume is 25.9 Å³ per atom.


Entry 8:
This record from the Alexandria database describes a relaxed CaPbW2 crystal. The functional is GGA-PBE.

a b c (Å): 3.5809 4.5964 9.8865
angles (deg): 90.00 90.00 90.00
Space group Immm (No. 71)
Unique sites:
1 Ca 0.0000 0.0000 0.0000 (multiplicity 2)
2 Pb 0.0000 0.0000 0.5000 (multiplicity 2)
3 W 0.0000 0.5000 0.2448 (multiplicity 4)

Values from the calculation:
The calculation puts the size of the total moment at 0.00 μB/cell. As for the formation energy: 3.747 eV/f.u. The density of states at the Fermi level is 5.95 states/eV/cell. The value obtained for the volume is 20.3 Å³ per atom.